The following is a DFT calculation (GGA+U) of an optimized crystal structure of CrInBO4.

abc: 5.7635 5.7635 5.7635
angles: 119.82 119.72 90.40
With the nearest neighbours (Å) after each atom.
Fractional positions:
Cr  0.5000  0.0000  0.0000  6 O 2.12-2.17
Cr  0.5000  0.5000  0.5000  6 O 2.12-2.17
In  0.0000  0.0000  0.0000  6 O 2.21-2.23
In  0.5000  0.0000  0.5000  6 O 2.21-2.23
B  0.1309  0.3809  0.7500  4 O 1.51-1.55
B  0.8691  0.6191  0.2500  4 O 1.51-1.55
O  0.1984  0.7259  0.4726  1 B 1.55
O  0.2404  0.2791  0.5388  1 B 1.51
O  0.2404  0.7016  0.9612  1 B 1.51
O  0.2467  0.2741  0.9726  1 B 1.55
O  0.7533  0.7259  0.0274  1 B 1.55
O  0.7596  0.2984  0.0388  1 B 1.51
O  0.7596  0.7209  0.4612  1 B 1.51
O  0.8016  0.2741  0.5274  1 B 1.55

Values from the calculation:
Magnetization ... 2.11 μB per formula unit
Density of states at the Fermi level ... 1.07 states/eV per cell
Symmetry ... Imma, No. 74
Total DFT energy (no corrections) ... -6.69 eV per atom
Theoretical density ... 5.91 g/cm3